VASP calculation (PBE) on a relaxed PbCl3 crystal.

For the formation energy from raw total energies, the calculation gives -0.448 eV/atom. As for the calculated total energy: -11.04 eV per cell. The value obtained for the magnetization is 1.03 μB/cell. The space-group type is No. 187.

Cell and atoms, written as extended XYZ:
```
4
Lattice="4.1155 0.0000 0.0000 -2.0578 3.5641 0.0000 0.0000 0.0000 9.2853" Properties=species:S:1:pos:R:3 pbc="T T T"
Pb 0.0000 0.0000 0.0000
Cl 0.0000 0.0000 4.6427
Cl 0.0000 2.3761 1.7132
Cl 0.0000 2.3761 7.5721
```